Below is an optimized crystal structure of BaCo2H8, with properties calculated at the PBE level.

Summary:
**Volume**: 91 Å³ per cell
**Space group**: Cmm2, No. 35
**Energy**: -44.545 eV/f.u.
**M_tot**: 0.00 μB per formula unit

abc: 4.6737 4.6737 4.6854
angles: 90.00 90.00 117.03
Element x y z (fractional)
Ba 0.0000 0.0000 0.0000
Co 0.3280 0.6720 0.4731
Co 0.6720 0.3280 0.4731
H 0.0191 0.3230 0.5022
H 0.3192 0.6808 0.1464
H 0.3230 0.0191 0.5022
H 0.5000 0.5000 0.2864
H 0.5000 0.5000 0.6890
H 0.6770 0.9809 0.5022
H 0.6808 0.3192 0.1464
H 0.9809 0.6770 0.5022